This record from Alexandria describes a relaxed structure of HoTmGa2. The functional is GGA-PBE.

```
4
Lattice="4.010 0.000 0.000 0.000 2.162 5.383 0.000 -2.162 5.383" Properties=species:S:1:pos:R:3 pbc="T T T"
Ho 0.000 0.000 0.000
Tm 2.005 0.000 2.996
Ga 0.000 0.000 7.727
Ga 2.005 0.000 6.048
```

Output
theoretical density = 8421 kg/m³
formation energy = -0.627 eV per atom

---

This record from Alexandria describes a relaxed structure of LaPm2Pr5Sm. The functional is GGA-PBE.

```
18
Lattice="-4.520 4.520 7.941 4.520 -4.520 7.941 4.520 4.520 -7.941" Properties=species:S:1:pos:R:3 pbc="T T T"
La 0.000 0.000 3.970
La 0.000 0.000 11.911
Pm 5.574 1.054 0.000
Pm 1.054 3.466 0.000
Pm 3.466 1.054 7.941
Pm -1.054 3.466 7.941
Pr 0.000 0.000 0.000
Pr 2.665 1.855 -2.174
Pr 2.665 -1.855 5.766
Pr 2.665 1.855 2.174
Pr 2.665 -1.855 10.115
Pr 0.000 0.000 7.941
Pr 1.855 6.375 -2.174
Pr 1.855 2.665 5.766
Pr 1.855 6.375 2.174
Pr 1.855 2.665 10.115
Sm 4.520 0.000 3.970
Sm 0.000 4.520 3.970
```

Output
theoretical density = 6570 kg/m³
formation energy = 0.252 eV per atom

---

This record from Alexandria describes a relaxed structure of Sb2WCl. The functional is GGA-PBE.

```
4
Lattice="-1.520 2.550 7.318 1.520 -2.550 7.318 1.520 2.550 -7.318" Properties=species:S:1:pos:R:3 pbc="T T T"
Sb 0.000 0.000 0.000
Sb 0.000 2.550 1.783
W 1.520 0.000 2.470
Cl 0.000 0.000 4.347
```

Output
theoretical density = 6771 kg/m³
energy relative to the elements, uncorrected = 305 meV/atom

---

| no. | uncorrected energy (eV per atom) |
| --- | --- |
| 1 | -4.402 |
| 2 | -4.531 |
| 3 | -5.456 |